Entry 1:
The following is a GGA-PBEsol calculation of an optimized crystal structure of MgTl2Pb, from the Alexandria database.

**Magnetization**: 0.00 μB per formula unit
**E_form**: -0.012 eV per atom
**Electronic total energy**: -2.756 eV per atom

Lattice parameters (Å, degrees): 5.7151 5.7151 5.7151 129.84 129.84 73.66
Closest atoms and distances in Å follow each position.
Positions (direct):
Mg 0.0000 0.0000 0.0000  8 Tl 3.33, 4 Pb 3.43
Tl 0.2500 0.7500 0.5000  4 Pb 3.33, 4 Mg 3.33, 4 Tl 3.43
Tl 0.7500 0.2500 0.5000  4 Pb 3.33, 4 Mg 3.33, 4 Tl 3.43
Pb 0.5000 0.5000 0.0000  8 Tl 3.33, 4 Mg 3.43

Entry 2:
The following is a GGA-PBEsol calculation of an optimized crystal structure of Mg4TlPb, from the Alexandria database.

**Magnetization**: 0.00 μB per formula unit
**E_form**: 0.018 eV per atom
**Electronic total energy**: -2.232 eV per atom

Lattice parameters (Å, degrees): 5.9242 5.9242 5.9242 60.00 60.00 60.00
Closest atoms and distances in Å follow each position.
Positions (direct):
Mg 0.1250 0.1250 0.1250  6 Mg 2.96
Mg 0.1250 0.1250 0.6250  6 Mg 2.96
Mg 0.1250 0.6250 0.1250  6 Mg 2.96
Mg 0.6250 0.1250 0.1250  6 Mg 2.96
Tl 0.7500 0.7500 0.7500  12 Mg 3.47, 4 Pb 3.63
Pb 0.5000 0.5000 0.5000  12 Mg 3.47, 4 Tl 3.63